First-principles (GGA-PBE) data for Li2TcBr5 after structural relaxation, as listed in Alexandria.

POSCAR file:
```
Li2TcBr5
1.0
-3.280 1.115 5.509
2.776 -2.285 6.036
1.238 5.998 3.444
Li Br Tc
2 5 1
Cartesian
-0.211 -0.578 7.106
-1.117 4.301 5.579
2.318 0.231 5.870
1.885 4.338 12.744
-1.018 1.958 6.861
1.708 3.196 9.198
1.651 3.828 4.744
-3.173 1.208 5.742
```

Calculated values
The energy relative to the elements, uncorrected is -0.83 eV per atom. Its symmetry is Cm.

First-principles (GGA-PBE) data for LiTlTcBr6 after structural relaxation, as listed in Alexandria.

POSCAR file:
```
LiTlTcBr6
1.0
-3.167 1.813 5.877
-3.716 -1.136 -5.724
-1.281 -13.822 3.574
Br Tl Li Tc
12 2 2 2
Cartesian
-5.167 -8.552 2.283
-2.317 -9.339 0.258
-3.650 -11.568 2.977
-3.542 -12.474 -0.488
-4.514 -1.576 0.750
-2.561 -3.740 4.899
-5.847 -3.805 3.470
-1.479 -1.368 2.643
-2.997 -4.593 1.445
-6.685 -11.777 1.084
-5.603 -9.404 -1.171
-4.622 -0.670 4.216
-0.640 -6.911 1.787
0.000 0.000 0.000
-3.853 -3.608 -0.963
-4.311 -9.536 4.691
-4.494 -10.519 0.824
-3.670 -2.625 2.904
```

Calculated values
The energy relative to the elements, uncorrected is -0.75 eV per atom. Its symmetry is P-31c.

First-principles (GGA-PBE) data for Li2TlTcBr8 after structural relaxation, as listed in Alexandria.

POSCAR file:
```
Li2TlTcBr8
1.0
-6.161 -2.163 -1.434
0.506 -3.259 5.448
-3.215 6.426 4.158
Br Tl Li Tc
8 1 2 1
Cartesian
-1.254 -1.515 4.969
-7.616 2.520 3.202
-1.804 -1.543 0.994
-5.298 -0.506 4.982
-5.789 -1.130 0.836
-3.081 2.135 7.336
-7.066 2.548 7.178
-3.572 1.511 3.190
-1.608 3.213 2.079
-3.615 -1.118 3.053
-5.255 2.123 5.118
0.000 0.000 0.000
```

Calculated values
The energy relative to the elements, uncorrected is -0.77 eV per atom. Its symmetry is P-1. For the density of states at the Fermi level, the calculation gives 1.9 states/eV per cell.

First-principles (GGA-PBE) data for Li2TeBr after structural relaxation, as listed in Alexandria.

POSCAR file:
```
Li2TeBr
1.0
9.443 0.389 0.000
7.724 5.446 0.000
-8.583 -2.918 2.671
Te Li Br
1 2 1
Cartesian
8.583 2.918 0.000
3.862 2.723 1.335
0.000 0.000 0.000
4.721 0.194 1.335
```

Calculated values
The energy relative to the elements, uncorrected is -0.85 eV per atom. Its symmetry is I-4m2. The distance to the lowest polymorph of the same formula is 0.78 eV per formula unit. For the density of states at the Fermi level, the calculation gives 1.6 states/eV per cell.

| no. | VASP energy (eV per formula unit) |
| --- | --- |
| 1 | -29.2 |
| 2 | -31.4 |
| 3 | -39.1 |
| 4 | -12.0 |